This record from the Alexandria database describes crystalline CaCdSn2Cl8 at its relaxed geometry. The functional is PBE.

Summary:
**Uncorrected formation energy**: -1347 meV/atom

Cell and atoms, written as POSCAR:
```
CaCdSn2Cl8
1.0
6.3892 0.0000 0.0000
0.0000 8.3838 0.0000
-0.0252 0.0000 6.6577
Ca Cd Sn Cl
1 1 2 8
Direct
0.0000 0.0000 0.0000
0.0000 0.5000 0.0000
0.5000 0.2544 0.5000
0.5000 0.7456 0.5000
0.2199 0.2576 0.1590
0.2199 0.7424 0.1590
0.2549 0.5000 0.6796
0.2646 0.0000 0.6727
0.7354 0.0000 0.3273
0.7451 0.5000 0.3204
0.7801 0.2576 0.8410
0.7801 0.7424 0.8410
```

---

This record from the Alexandria database describes crystalline LiSc2C at its relaxed geometry. The functional is PBE.

Summary:
**Formation energy**: 1.011 eV/atom

Cell and atoms, written as POSCAR:
```
LiSc2C
1.0
1.6334 0.9431 9.4013
-1.6334 0.9431 9.4013
0.0000 -1.8861 9.4013
Li Sc C
1 2 1
Direct
0.0000 0.0000 0.0000
0.4256 0.4256 0.4256
0.5744 0.5744 0.5744
0.5000 0.5000 0.5000
```